# 1
MnCoHPt2 | GGA-PBE | optimized geometry

Calculated values
Density of states at the Fermi level (states/eV/atom): 0.618

a = 3.9342 Å, b = 3.9342 Å, c = 3.8301 Å
α = 90.00°, β = 90.00°, γ = 90.00°
Last column: nearest neighbours and their distance in Å.
Space group P4/mmm (No. 123)
Symmetry-distinct sites (fractional):
Mn  0.0000  0.0000  0.0000 [1 per cell]  8 Pt 2.75, 4 Co 2.78
Co  0.5000  0.5000  0.0000 [1 per cell]  2 H 1.92
H  0.5000  0.5000  0.5000 [1 per cell]  2 Co 1.92, 4 Pt 1.97
Pt  0.0000  0.5000  0.5000 [2 per cell]  2 H 1.97

# 2
Rb2PaAgO6 | GGA-PBE | optimized geometry

Calculated values
Density of states at the Fermi level (states/eV/atom): 0.557
E_form (uncorrected) (meV/atom): -1639

a = 8.5149 Å, b = 8.5149 Å, c = 8.5149 Å
α = 90.00°, β = 90.00°, γ = 90.00°
Last column: nearest neighbours and their distance in Å.
Space group Fm-3m (No. 225)
Symmetry-distinct sites (fractional):
Rb  0.2500  0.2500  0.2500 [8 per cell]  12 O 3.01
Pa  0.0000  0.0000  0.0000 [4 per cell]  6 O 2.11
Ag  0.0000  0.0000  0.5000 [4 per cell]  6 O 2.15
O  0.0000  0.0000  0.2478 [24 per cell]  1 Pa 2.11, 1 Ag 2.15

# 3
K3CdP | GGA-PBE | optimized geometry

Calculated values
Density of states at the Fermi level (states/eV/atom): 0.688
ΔE_f (eV/atom): -0.0373

a = 6.2975 Å, b = 6.2975 Å, c = 6.2975 Å
α = 90.00°, β = 90.00°, γ = 90.00°
Last column: nearest neighbours and their distance in Å.
Space group Pm-3m (No. 221)
Symmetry-distinct sites (fractional):
K  0.0000  0.0000  0.5000 [3 per cell]  2 P 3.15
Cd  0.5000  0.5000  0.5000 [1 per cell]  12 K 4.45
P  0.0000  0.0000  0.0000 [1 per cell]  6 K 3.15

# 4
PrNdSc2 | GGA-PBE | optimized geometry

Calculated values
Density of states at the Fermi level (states/eV/atom): 1.155
ΔE_f (eV/atom): 0.0512

a = 3.6130 Å, b = 3.6130 Å, c = 9.0886 Å
α = 90.00°, β = 90.00°, γ = 90.00°
Last column: nearest neighbours and their distance in Å.
Space group P4/mmm (No. 123)
Symmetry-distinct sites (fractional):
Pr  0.0000  0.0000  0.0000 [1 per cell]  8 Sc 3.43, 4 Pr 3.61
Nd  0.0000  0.0000  0.5000 [1 per cell]  8 Sc 3.41, 4 Nd 3.61
Sc  0.5000  0.5000  0.2513 [2 per cell]  4 Nd 3.41, 4 Pr 3.43, 4 Sc 3.61

# 5
TiGeF2 | GGA-PBE | optimized geometry

Calculated values
Density of states at the Fermi level (states/eV/atom): 1.950
E_form (uncorrected) (meV/atom): -1844

a = 2.7957 Å, b = 2.7957 Å, c = 29.3237 Å
α = 90.00°, β = 90.00°, γ = 120.00°
Last column: nearest neighbours and their distance in Å.
Space group R-3m (No. 166, hexagonal axes)
Symmetry-distinct sites (fractional):
Ti  0.0000  0.0000  0.0000 [3 per cell]  6 F 2.12
Ge  0.0000  0.0000  0.5000 [3 per cell]  6 Ge 2.80
F  0.0000  0.0000  0.3802 [6 per cell]  3 Ti 2.12

# 6
TbCeCo | GGA-PBE | optimized geometry

Calculated values
Density of states at the Fermi level (states/eV/atom): 1.835
ΔE_f (eV/atom): 0.0392

a = 4.1530 Å, b = 4.1530 Å, c = 4.7851 Å
α = 90.00°, β = 90.00°, γ = 120.00°
Last column: nearest neighbours and their distance in Å.
Space group P-6m2 (No. 187)
Symmetry-distinct sites (fractional):
Tb  0.0000  0.0000  0.0000 [1 per cell]  6 Ce 3.39, 6 Co 3.39
Ce  0.3333  0.6667  0.5000 [1 per cell]  3 Co 2.40
Co  0.6667  0.3333  0.5000 [1 per cell]  3 Ce 2.40

# 7
CsBaAl2Te | GGA-PBE | optimized geometry

Calculated values
Density of states at the Fermi level (states/eV/atom): 1.417
E_form (uncorrected) (meV/atom): 634

a = 5.8268 Å, b = 5.8268 Å, c = 6.7556 Å
α = 90.00°, β = 90.00°, γ = 90.00°
Last column: nearest neighbours and their distance in Å.
Space group P4/mmm (No. 123)
Symmetry-distinct sites (fractional):
Cs  0.0000  0.0000  0.0000 [1 per cell]  4 Al 2.91
Ba  0.5000  0.5000  0.5000 [1 per cell]  4 Te 4.12, 8 Al 4.46
Al  0.0000  0.5000  0.0000 [2 per cell]  2 Cs 2.91
Te  0.0000  0.0000  0.5000 [1 per cell]  2 Cs 3.38

# 8
PrAl2Hg | GGA-PBE | optimized geometry

Calculated values
Density of states at the Fermi level (states/eV/atom): 0.500
ΔE_f (eV/atom): -0.2691

a = 4.4689 Å, b = 4.4689 Å, c = 16.3609 Å
α = 90.00°, β = 90.00°, γ = 120.00°
Last column: nearest neighbours and their distance in Å.
Space group R-3m (No. 166, hexagonal axes)
Symmetry-distinct sites (fractional):
Pr  0.0000  0.0000  0.0000 [3 per cell]  8 Al 3.20-3.56
Al  0.0000  0.0000  0.2174 [6 per cell]  3 Hg 2.71
Hg  0.0000  0.0000  0.5000 [3 per cell]  6 Al 2.71

# 9
SiNi2H2 | GGA-PBE | optimized geometry

Calculated values
Density of states at the Fermi level (states/eV/atom): 0.121

a = 2.7087 Å, b = 2.7087 Å, c = 10.7108 Å
α = 90.00°, β = 90.00°, γ = 90.00°
Last column: nearest neighbours and their distance in Å.
Space group I4/mmm (No. 139)
Symmetry-distinct sites (fractional):
Si  0.0000  0.0000  0.0000 [2 per cell]  8 Ni 2.48, 4 Si 2.71
Ni  0.0000  0.0000  0.3536 [4 per cell]  4 H 1.75
H  0.0000  0.5000  0.2500 [4 per cell]  4 Ni 1.75, 4 H 1.92

# 10
Ca3CeTh2P6 | GGA-PBE | optimized geometry

Calculated values
ΔE_f (eV/atom): -1.3724

a = 7.2414 Å, b = 12.5394 Å, c = 7.1200 Å
α = 90.00°, β = 109.81°, γ = 90.00°
Last column: nearest neighbours and their distance in Å.
Space group C2/m (No. 12)
Symmetry-distinct sites (fractional):
Ca  0.0000  0.0000  0.0000 [2 per cell]  6 P 2.98-3.01
Ca  0.0000  0.3332  0.0000 [4 per cell]  6 P 2.98-3.01
Ce  0.0000  0.5000  0.5000 [2 per cell]  6 P 2.86-2.87
Th  0.0000  0.1666  0.5000 [4 per cell]  6 P 2.90
P  0.2437  0.3351  0.7365 [8 per cell]  1 Ce 2.87, 2 Th 2.90, 3 Ca 2.98-3.01
P  0.2490  0.0000  0.7360 [4 per cell]  1 Ce 2.86, 2 Th 2.90, 3 Ca 2.98-3.01

# 11
PmPrTm6 | GGA-PBE | optimized geometry

Calculated values
Density of states at the Fermi level (states/eV/atom): 1.466
ΔE_f (eV/atom): 0.0289

a = 5.0026 Å, b = 5.0026 Å, c = 9.9973 Å
α = 90.00°, β = 90.00°, γ = 90.00°
Last column: nearest neighbours and their distance in Å.
Space group P4/mmm (No. 123)
Symmetry-distinct sites (fractional):
Pm  0.0000  0.0000  0.0000 [1 per cell]  12 Tm 3.53-3.54
Pr  0.0000  0.0000  0.5000 [1 per cell]  12 Tm 3.54
Tm  0.0000  0.5000  0.2489 [4 per cell]  2 Pm 3.53, 8 Tm 3.53-3.54, 2 Pr 3.54
Tm  0.5000  0.5000  0.0000 [1 per cell]  8 Tm 3.53, 4 Pm 3.54
Tm  0.5000  0.5000  0.5000 [1 per cell]  4 Pr 3.54, 8 Tm 3.54

# 12
MnS2N2 | GGA-PBE | optimized geometry

Calculated values
Density of states at the Fermi level (states/eV/atom): 0.950
E_form (uncorrected) (meV/atom): 1430

a = 4.5545 Å, b = 4.5545 Å, c = 3.4418 Å
α = 90.00°, β = 90.00°, γ = 90.00°
Last column: nearest neighbours and their distance in Å.
Space group P4/mmm (No. 123)
Symmetry-distinct sites (fractional):
Mn  0.0000  0.0000  0.0000 [1 per cell]  2 N 1.72
S  0.0000  0.5000  0.0000 [2 per cell]  2 Mn 2.28
N  0.0000  0.0000  0.5000 [1 per cell]  2 Mn 1.72
N  0.5000  0.5000  0.5000 [1 per cell]  8 S 2.85

# 13
CsPmAg2Br6 | GGA-PBE | optimized geometry

Calculated values
Density of states at the Fermi level (states/eV/atom): 0.000
E_form (uncorrected) (meV/atom): -1223

a = 7.9347 Å, b = 7.9347 Å, c = 20.9329 Å
α = 90.00°, β = 90.00°, γ = 120.00°
Last column: nearest neighbours and their distance in Å.
Space group R3 (No. 146, hexagonal axes)
Symmetry-distinct sites (fractional):
Cs  0.0000  0.0000  0.0000 [3 per cell]  6 Br 3.60-3.65
Pm  0.0000  0.0000  0.5034 [3 per cell]  6 Br 2.83-2.97
Ag  0.0000  0.0000  0.3021 [3 per cell]  6 Br 2.85-3.09
Ag  0.0000  0.0000  0.7498 [3 per cell]  3 Br 2.64
Br  0.0021  0.6222  0.9008 [9 per cell]  1 Pm 2.83, 1 Ag 2.85
Br  0.0350  0.4267  0.0736 [9 per cell]  1 Ag 2.64

# 14
Tm4ZrIn | GGA-PBE | optimized geometry

Calculated values
Density of states at the Fermi level (states/eV/atom): 1.341
ΔE_f (eV/atom): 0.3420

a = 5.0852 Å, b = 5.0852 Å, c = 7.4285 Å
α = 90.00°, β = 90.00°, γ = 90.00°
Last column: nearest neighbours and their distance in Å.
Space group P4/mmm (No. 123)
Symmetry-distinct sites (fractional):
Tm  0.0000  0.5000  0.2445 [4 per cell]  2 Zr 3.12, 2 In 3.17
Zr  0.0000  0.0000  0.0000 [1 per cell]  8 Tm 3.12
In  0.5000  0.5000  0.5000 [1 per cell]  8 Tm 3.17

Number 1: E -32.3 eV for the cell shown. Number 2: E -241.7 eV for the cell shown. Number 3: E -9.8 eV for the cell shown. Number 4: E -22.0 eV for the cell shown. Number 5: E -70.9 eV for the cell shown. Number 6: E -17.6 eV for the cell shown. Number 7: E -10.2 eV for the cell shown. Number 8: E -40.9 eV for the cell shown. Number 9: E -48.2 eV for the cell shown. Number 10: E -151.4 eV for the cell shown. Number 11: E -36.1 eV for the cell shown. Number 12: E -26.9 eV for the cell shown. Number 13: E -100.7 eV for the cell shown. Number 14: E -27.1 eV for the cell shown.